No. 1
First-principles (PBE) data for a geometry-optimized Tm4SiSn structure, as listed in Alexandria.

```
Tm4SiSn
1.0
5.855 0.000 0.000
0.000 7.484 0.469
-2.928 -2.570 7.395
Tm Si Sn
8 2 2
Direct
0.542 0.057 0.846
0.696 0.443 0.154
0.458 0.943 0.154
0.304 0.557 0.846
0.947 0.865 0.667
0.280 0.635 0.333
0.053 0.135 0.333
0.720 0.365 0.667
0.500 0.000 0.500
0.000 0.500 0.500
0.868 0.750 0.000
0.132 0.250 0.000
```

Computed properties:
total energy	-0.35848	Ry per atom
calculated volume	165.6	Å³/f.u.
symmetry	C2/c

No. 2
First-principles (PBE) data for a geometry-optimized Tm3SiSn structure, as listed in Alexandria.

```
Tm3SiSn
1.0
6.266 0.041 0.044
-0.609 9.379 -0.576
-0.609 -1.176 9.323
Tm Si Sn
12 4 4
Direct
0.631 0.206 0.064
0.869 0.936 0.794
0.369 0.794 0.936
0.131 0.064 0.206
0.863 0.649 0.073
0.637 0.927 0.351
0.137 0.351 0.927
0.363 0.073 0.649
0.461 0.531 0.291
0.039 0.709 0.469
0.539 0.469 0.709
0.961 0.291 0.531
0.250 0.072 0.928
0.750 0.928 0.072
0.250 0.776 0.224
0.750 0.224 0.776
0.974 0.412 0.250
0.526 0.750 0.588
0.026 0.588 0.750
0.474 0.250 0.412
```

Computed properties:
total energy	-0.36912	Ry per atom
calculated volume	136.1	Å³/f.u.
symmetry	C2/c

No. 3
First-principles (PBE) data for a geometry-optimized Tm7Si5Sn structure, as listed in Alexandria.

```
Tm7Si5Sn
1.0
-4.317 3.536 -1.135
-5.660 -3.586 -3.933
-5.014 0.367 5.923
Tm Si Sn
7 5 1
Direct
0.624 0.376 0.376
0.250 0.750 0.750
0.998 0.331 0.674
0.998 0.674 0.331
0.278 0.222 0.222
0.540 0.794 0.125
0.540 0.125 0.794
0.485 0.991 0.479
0.045 0.991 0.479
0.485 0.479 0.991
0.045 0.479 0.991
0.772 0.728 0.728
0.941 0.059 0.059
```

Computed properties:
total energy	-0.38585	Ry per atom
calculated volume	296.5	Å³/f.u.
symmetry	Imm2

No. 4
First-principles (PBE) data for a geometry-optimized Tm8SiSn2 structure, as listed in Alexandria.

```
Tm8SiSn2
1.0
4.906 0.000 0.000
0.000 6.575 0.145
-2.453 -2.587 9.261
Tm Si Sn
8 1 2
Direct
0.411 0.537 0.822
0.650 0.003 0.300
0.780 0.678 0.560
0.977 0.221 0.953
0.220 0.322 0.440
0.350 0.997 0.700
0.589 0.463 0.178
0.023 0.779 0.047
0.500 0.000 0.000
0.818 0.239 0.636
0.182 0.761 0.364
```

Computed properties:
total energy	-0.35656	Ry per atom
calculated volume	300.5	Å³/f.u.
symmetry	C2/m

No. 5
First-principles (PBE) data for a geometry-optimized Tm2SiSn structure, as listed in Alexandria.

```
Tm2SiSn
1.0
-0.734 -3.822 -0.935
1.464 -2.938 2.291
-7.419 -2.044 5.614
Si Tm Sn
1 2 1
Direct
0.500 0.500 0.500
0.112 0.112 0.665
0.888 0.888 0.335
0.000 0.000 0.000
```

Computed properties:
total energy	-0.34777	Ry per atom
calculated volume	128.2	Å³/f.u.
symmetry	R-3m

No. 6
First-principles (PBE) data for a geometry-optimized USi2Sn structure, as listed in Alexandria.

```
USi2Sn
1.0
-2.714 -2.787 -0.740
2.339 -2.889 2.301
-2.159 1.140 3.626
Si U Sn
2 1 1
Direct
0.000 0.000 0.500
0.000 0.500 0.000
0.500 0.000 0.000
0.500 0.500 0.500
```

Computed properties:
total energy	-0.49361	Ry per atom
calculated volume	75.7	Å³/f.u.
symmetry	P4/mmm

No. 7
First-principles (PBE) data for a geometry-optimized VSiSn3 structure, as listed in Alexandria.

```
VSiSn3
1.0
-1.773 -1.011 4.715
-1.969 -4.434 -1.691
4.402 -2.391 1.142
Si Sn V
1 3 1
Direct
0.500 0.500 0.500
0.000 0.500 0.000
0.000 0.000 0.500
0.500 0.000 0.000
0.000 0.000 0.000
```

Computed properties:
total energy	-0.34141	Ry per atom
calculated volume	135.6	Å³/f.u.
symmetry	Pm-3m

No. 8
First-principles (PBE) data for a geometry-optimized VSi3Sn structure, as listed in Alexandria.

```
VSi3Sn
1.0
-2.179 -3.561 2.066
2.577 -3.003 -2.457
3.210 -0.006 3.375
Si Sn V
3 1 1
Direct
0.000 0.500 0.000
0.000 0.000 0.500
0.500 0.000 0.000
0.500 0.500 0.500
0.000 0.000 0.000
```

Computed properties:
total energy	-0.39954	Ry per atom
calculated volume	101.1	Å³/f.u.
symmetry	Pm-3m